This record from Alexandria describes crystalline Ca2LaY2 at its relaxed geometry. The functional is GGA-PBE.

The structure in CIF format:
```
data_Ca2LaY2
_space_group_name_H-M_alt 'P 4/m b m'
_space_group_IT_number 127
_space_group_name_Hall '-P 4 2ab'
_cell_length_a 9.6857
_cell_length_b 9.6857
_cell_length_c 3.8844
_cell_angle_alpha 90.00
_cell_angle_beta 90.00
_cell_angle_gamma 90.00
loop_
_atom_site_label
_atom_site_fract_x
_atom_site_fract_y
_atom_site_fract_z
Ca1 0.1346 0.3654 0.0000
La1 0.0000 0.0000 0.0000
Y1 0.1630 0.6630 0.5000
```

Values from the calculation:
DFT total energy (eV per atom): -4.132
Distance to the lowest polymorph of the same formula (kJ/mol of atoms): 3.5
Formation enthalpy at 0 K (eV per atom): 0.24
Volume (Å³/f.u.): 182

***

This record from Alexandria describes crystalline CaLa3Y at its relaxed geometry. The functional is GGA-PBE.

The structure in CIF format:
```
data_CaLa3Y
_space_group_name_H-M_alt 'C m m m'
_space_group_IT_number 65
_space_group_name_Hall '-C 2 2'
_cell_length_a 5.6516
_cell_length_b 11.4950
_cell_length_c 11.6296
_cell_angle_alpha 90.00
_cell_angle_beta 90.00
_cell_angle_gamma 90.00
loop_
_atom_site_label
_atom_site_fract_x
_atom_site_fract_y
_atom_site_fract_z
Ca1 0.0000 0.1569 0.0000
La1 0.0000 0.1509 0.3080
La2 0.0000 0.5000 0.1908
Y1 0.0000 0.3599 0.5000
```

Values from the calculation:
DFT total energy (eV per atom): -4.510
Distance to the lowest polymorph of the same formula (kJ/mol of atoms): 0.0
Formation enthalpy at 0 K (eV per atom): 0.14
Volume (Å³/f.u.): 189

***

This record from Alexandria describes crystalline CaLa2Y at its relaxed geometry. The functional is GGA-PBE.

The structure in CIF format:
```
data_CaLa2Y
_space_group_name_H-M_alt 'P 4/m m m'
_space_group_IT_number 123
_space_group_name_Hall '-P 4 2'
_cell_length_a 3.6997
_cell_length_b 3.6997
_cell_length_c 10.8315
_cell_angle_alpha 90.00
_cell_angle_beta 90.00
_cell_angle_gamma 90.00
loop_
_atom_site_label
_atom_site_fract_x
_atom_site_fract_y
_atom_site_fract_z
Ca1 0.0000 0.0000 0.0000
La1 0.5000 0.5000 0.2647
Y1 0.0000 0.0000 0.5000
```

Values from the calculation:
DFT total energy (eV per atom): -4.530
Distance to the lowest polymorph of the same formula (kJ/mol of atoms): 2.6
Formation enthalpy at 0 K (eV per atom): 0.05
Volume (Å³/f.u.): 148

***

This record from Alexandria describes crystalline CaLa3Y6 at its relaxed geometry. The functional is GGA-PBE.

The structure in CIF format:
```
data_CaLa3Y6
_space_group_name_H-M_alt 'C 1 2/m 1'
_space_group_IT_number 12
_cell_length_a 11.7038
_cell_length_b 6.8132
_cell_length_c 9.4258
_cell_angle_alpha 90.00
_cell_angle_beta 110.93
_cell_angle_gamma 90.00
loop_
_space_group_symop_operation_xyz
'x,y,z'
'-x,-y,-z'
'-x,y,-z'
'x,-y,z'
'x+1/2,y+1/2,z'
'-x+1/2,-y+1/2,-z'
'-x+1/2,y+1/2,-z'
'x+1/2,-y+1/2,z'
loop_
_atom_site_label
_atom_site_fract_x
_atom_site_fract_y
_atom_site_fract_z
Ca1 0.0000 0.0000 0.0000
La1 0.0000 0.5000 0.5000
La2 0.0678 0.0000 0.6657
Y1 0.1366 0.5000 0.9277
Y2 0.1882 0.2504 0.3053
```

Values from the calculation:
DFT total energy (eV per atom): -5.337
Formation enthalpy at 0 K (eV per atom): 0.22
Volume (Å³/f.u.): 351

***

This record from Alexandria describes crystalline CaLa2Y at its relaxed geometry. The functional is GGA-PBE.

The structure in CIF format:
```
data_CaLa2Y
_space_group_name_H-M_alt 'I m m m'
_space_group_IT_number 71
_space_group_name_Hall '-I 2 2'
_cell_length_a 3.9332
_cell_length_b 6.0830
_cell_length_c 12.3757
_cell_angle_alpha 90.00
_cell_angle_beta 90.00
_cell_angle_gamma 90.00
loop_
_atom_site_label
_atom_site_fract_x
_atom_site_fract_y
_atom_site_fract_z
Ca1 0.0000 0.0000 0.0000
La1 0.0000 0.5000 0.2347
Y1 0.0000 0.0000 0.5000
```

Values from the calculation:
DFT total energy (eV per atom): -4.453
Distance to the lowest polymorph of the same formula (kJ/mol of atoms): 10.0
Formation enthalpy at 0 K (eV per atom): 0.13
Volume (Å³/f.u.): 148

***

This record from Alexandria describes crystalline CaLa12Y6 at its relaxed geometry. The functional is GGA-PBE.

The structure in CIF format:
```
data_CaLa12Y6
_space_group_name_H-M_alt 'R -3 m'
_space_group_IT_number 166
_space_group_name_Hall '-R 3 2"'
_cell_length_a 16.4888
_cell_length_b 16.4888
_cell_length_c 8.7944
_cell_angle_alpha 90.00
_cell_angle_beta 90.00
_cell_angle_gamma 120.00
loop_
_atom_site_label
_atom_site_fract_x
_atom_site_fract_y
_atom_site_fract_z
Ca1 0.0000 0.0000 0.0000
La1 0.0000 0.3761 0.5000
La2 0.0925 0.5462 0.8294
Y1 0.0848 0.1695 0.6359
```

Values from the calculation:
DFT total energy (eV per atom): -4.990
Formation enthalpy at 0 K (eV per atom): 0.27
Volume (Å³/f.u.): 690

***

This record from Alexandria describes crystalline CaLa2Y at its relaxed geometry. The functional is GGA-PBE.

The structure in CIF format:
```
data_CaLa2Y
_space_group_name_H-M_alt 'C 1 m 1'
_space_group_IT_number 8
_cell_length_a 12.4277
_cell_length_b 3.7108
_cell_length_c 6.4634
_cell_angle_alpha 90.00
_cell_angle_beta 100.29
_cell_angle_gamma 90.00
loop_
_space_group_symop_operation_xyz
'x,y,z'
'x,-y,z'
'x+1/2,y+1/2,z'
'x+1/2,-y+1/2,z'
loop_
_atom_site_label
_atom_site_fract_x
_atom_site_fract_y
_atom_site_fract_z
Ca1 0.0000 0.0000 0.0000
La1 0.2436 0.0000 0.7290
La2 0.4990 0.0000 0.4991
Y1 0.2515 0.5000 0.2531
```

Values from the calculation:
DFT total energy (eV per atom): -4.513
Distance to the lowest polymorph of the same formula (kJ/mol of atoms): 4.2
Formation enthalpy at 0 K (eV per atom): 0.07
Volume (Å³/f.u.): 147

***

This record from Alexandria describes crystalline Ca2LaY at its relaxed geometry. The functional is GGA-PBE.

The structure in CIF format:
```
data_Ca2LaY
_space_group_name_H-M_alt 'C m m m'
_space_group_IT_number 65
_space_group_name_Hall '-C 2 2'
_cell_length_a 4.0494
_cell_length_b 5.9485
_cell_length_c 12.4253
_cell_angle_alpha 90.00
_cell_angle_beta 90.00
_cell_angle_gamma 90.00
loop_
_atom_site_label
_atom_site_fract_x
_atom_site_fract_y
_atom_site_fract_z
Ca1 0.0000 0.0000 0.2437
La1 0.0000 0.5000 0.5000
Y1 0.0000 0.5000 0.0000
```

Values from the calculation:
DFT total energy (eV per atom): -3.731
Distance to the lowest polymorph of the same formula (kJ/mol of atoms): 7.3
Formation enthalpy at 0 K (eV per atom): 0.12
Volume (Å³/f.u.): 150

***

This record from Alexandria describes crystalline CaLa2Y at its relaxed geometry. The functional is GGA-PBE.

The structure in CIF format:
```
data_CaLa2Y
_space_group_name_H-M_alt 'R 3 m'
_space_group_IT_number 160
_space_group_name_Hall 'R 3 -2"'
_cell_length_a 3.7103
_cell_length_b 3.7103
_cell_length_c 37.1721
_cell_angle_alpha 90.00
_cell_angle_beta 90.00
_cell_angle_gamma 120.00
loop_
_atom_site_label
_atom_site_fract_x
_atom_site_fract_y
_atom_site_fract_z
Ca1 0.0000 0.0000 0.0000
La1 0.0000 0.0000 0.5790
La2 0.0000 0.0000 0.7551
Y1 0.0000 0.0000 0.1670
```

Values from the calculation:
DFT total energy (eV per atom): -4.544
Distance to the lowest polymorph of the same formula (kJ/mol of atoms): 1.2
Formation enthalpy at 0 K (eV per atom): 0.04
Volume (Å³/f.u.): 148

***

This record from Alexandria describes crystalline CaLa3Y at its relaxed geometry. The functional is GGA-PBE.

The structure in CIF format:
```
data_CaLa3Y
_space_group_name_H-M_alt 'P m -3 m'
_space_group_IT_number 221
_space_group_name_Hall '-P 4 2 3'
_cell_length_a 5.8841
_cell_length_b 5.8841
_cell_length_c 5.8841
_cell_angle_alpha 90.00
_cell_angle_beta 90.00
_cell_angle_gamma 90.00
loop_
_atom_site_label
_atom_site_fract_x
_atom_site_fract_y
_atom_site_fract_z
Ca1 0.0000 0.0000 0.0000
La1 0.0000 0.0000 0.5000
Y1 0.5000 0.5000 0.5000
```

Values from the calculation:
DFT total energy (eV per atom): -3.882
Distance to the lowest polymorph of the same formula (kJ/mol of atoms): 60.6
Formation enthalpy at 0 K (eV per atom): 0.77
Volume (Å³/f.u.): 204

***

Question: What is the volume in the fifth record?
Answer: 148 Å³/f.u.

***

Question: formation enthalpy at 0 K of number 5 (CaLa2Y)?
Answer: 0.13 eV per atom